# 1
ZrTi2Ag2 (PBE, optimized geometry); spin magnetization = 0.00 μB per cell; uncorrected energy = -28.55 eV/cell; formation energy from the elements = 0.298 eV per atom
1.0
3.730 0.000 0.000
0.000 3.730 0.000
1.865 1.865 6.944
Ag Ti Zr
2 2 1
direct
0.598 0.598 0.804
0.402 0.402 0.196
0.250 0.750 0.500
0.750 0.250 0.500
0.000 0.000 0.000

# 2
ZrMnNi2H (PBE, optimized geometry); spin magnetization = 1.88 μB per cell; uncorrected energy = -33.55 eV/cell
1.0
3.764 0.000 0.000
0.000 3.764 0.000
0.000 0.000 3.958
Ni Mn Zr H
2 1 1 1
direct
0.000 0.500 0.000
0.500 0.000 0.000
0.000 0.000 0.500
0.500 0.500 0.500
0.000 0.000 0.000

# 3
Rb2AgIrO4 (PBE, optimized geometry); raw formation energy = -685 meV per atom; spin magnetization = 0.00 μB per cell; uncorrected energy = -77.91 eV/cell
1.0
-2.935 -5.896 -0.264
1.576 -4.706 5.303
-8.792 0.465 5.075
Rb Ag Ir O
4 2 2 8
direct
0.819 0.000 0.361
0.181 0.000 0.639
0.569 0.500 0.861
0.931 0.500 0.139
0.000 0.000 0.000
0.750 0.500 0.500
0.250 0.500 0.500
0.500 0.000 0.000
0.387 0.684 0.444
0.170 0.316 0.444
0.580 0.184 0.056
0.929 0.684 0.556
0.235 0.184 0.944
0.821 0.816 0.944
0.363 0.816 0.056
0.515 0.316 0.556

# 4
FeAsP (PBE, optimized geometry); spin magnetization = 0.00 μB per cell; uncorrected energy = -18.70 eV/cell; formation energy from the elements = -0.060 eV per atom
1.0
-2.345 1.141 -2.948
-3.900 0.122 0.522
-1.853 3.468 0.188
As Fe P
1 1 1
direct
0.500 0.500 0.500
0.750 0.750 0.750
0.000 0.000 0.000

# 5
YAlGa2S6 (PBE, optimized geometry); raw formation energy = -1026 meV per atom; spin magnetization = 0.00 μB per cell; uncorrected energy = -102.56 eV/cell
1.0
7.034 0.106 0.110
2.389 8.081 0.496
2.389 0.196 8.094
S Ga Al Y
12 4 2 2
direct
0.850 0.051 0.173
0.470 0.459 0.267
0.350 0.173 0.051
0.945 0.378 0.880
0.650 0.827 0.949
0.030 0.733 0.541
0.055 0.622 0.120
0.970 0.267 0.459
0.150 0.949 0.827
0.445 0.880 0.378
0.530 0.541 0.733
0.555 0.120 0.622
0.697 0.253 0.374
0.803 0.626 0.747
0.197 0.374 0.253
0.303 0.747 0.626
0.750 0.813 0.187
0.250 0.187 0.813
0.250 0.844 0.156
0.750 0.156 0.844

# 6
Rb2AgGeC (PBE, optimized geometry); spin magnetization = 2.27 μB per cell; uncorrected energy = -12.31 eV/cell; formation energy from the elements = 1.263 eV per atom
1.0
6.675 0.000 0.000
0.000 4.797 0.000
0.000 0.000 6.675
Ge Rb C Ag
1 2 1 1
direct
0.000 0.500 0.000
0.000 0.000 0.500
0.500 0.000 0.000
0.500 0.500 0.500
0.000 0.000 0.000

# 7
FeCoIr2 (PBE, optimized geometry); spin magnetization = 5.89 μB per cell; uncorrected energy = -32.58 eV/cell; formation energy from the elements = 0.177 eV per atom
1.0
2.753 0.000 0.000
0.000 4.534 0.000
0.000 0.000 4.379
Ir Co Fe
2 1 1
direct
0.000 0.000 0.000
0.500 0.500 0.000
0.500 0.000 0.500
0.000 0.500 0.500

# 8
Nd6Dy3Y2Ho (PBE, optimized geometry); spin magnetization = 0.00 μB per cell; uncorrected energy = -59.80 eV/cell; formation energy from the elements = 0.010 eV per atom
1.0
6.281 -0.001 0.010
-3.140 5.440 0.010
-1.062 -1.838 11.680
Ho Dy Nd Y
1 3 6 2
direct
0.000 0.000 0.000
0.500 0.500 0.500
0.833 0.167 0.500
0.167 0.833 0.500
0.584 0.916 0.750
0.416 0.084 0.250
0.916 0.584 0.750
0.084 0.416 0.250
0.249 0.249 0.749
0.751 0.751 0.251
0.333 0.667 0.000
0.667 0.333 0.000

# 9
ScNiGeRu (PBE, optimized geometry); spin magnetization = 0.08 μB per cell; uncorrected energy = -27.97 eV/cell; formation energy from the elements = -0.491 eV per atom
1.0
-1.731 -0.084 3.981
-1.905 -3.617 1.463
1.888 -2.330 3.139
Ni Ru Sc Ge
1 1 1 1
direct
0.000 0.000 0.000
0.500 0.500 0.500
0.750 0.750 0.750
0.250 0.250 0.250

# 10
InAg4Rh (PBE, optimized geometry); spin magnetization = 0.00 μB per cell; uncorrected energy = -19.90 eV/cell; formation energy from the elements = 0.266 eV per atom
1.0
-4.485 -2.987 0.459
-1.641 -1.683 4.870
-4.443 2.120 2.238
Ag Rh In
4 1 1
direct
0.375 0.375 0.876
0.375 0.375 0.375
0.375 0.876 0.375
0.876 0.375 0.375
0.000 0.000 0.000
0.750 0.750 0.750

# 11
CuPbW2 (PBE, optimized geometry); spin magnetization = 0.00 μB per cell; uncorrected energy = -31.47 eV/cell; formation energy from the elements = 0.560 eV per atom
1.0
3.347 0.000 0.000
0.000 3.352 -0.011
0.000 3.376 6.304
Pb W Cu
1 2 1
direct
0.500 0.768 0.732
0.500 0.252 0.248
0.000 0.952 0.049
0.000 0.529 0.471

# 12
Zn3MoSe (PBE, optimized geometry); raw formation energy = 1084 meV per atom; spin magnetization = 2.76 μB per cell; uncorrected energy = -12.72 eV/cell
1.0
-3.344 3.506 -1.309
-2.651 -0.980 4.147
2.641 3.455 2.505
Zn Se Mo
3 1 1
direct
0.500 0.000 0.000
0.000 0.000 0.500
0.000 0.500 0.000
0.500 0.500 0.500
0.000 0.000 0.000

# 13
MgScZnOs (PBE, optimized geometry); spin magnetization = 0.00 μB per cell; uncorrected energy = -20.97 eV/cell; formation energy from the elements = -0.135 eV per atom
1.0
4.563 0.000 0.000
2.281 3.952 0.000
2.281 1.317 3.726
Mg Zn Sc Os
1 1 1 1
direct
0.750 0.750 0.750
0.000 0.000 0.000
0.250 0.250 0.250
0.500 0.500 0.500

# 14
Ac4PrNd4 (PBE, optimized geometry); spin magnetization = 0.00 μB per cell; uncorrected energy = -39.99 eV/cell; formation energy from the elements = 0.033 eV per atom
1.0
5.109 0.000 1.730
2.554 8.129 0.865
-0.053 0.000 8.565
Nd Ac Pr
4 4 1
direct
0.339 0.661 0.661
0.000 0.661 0.339
0.000 0.339 0.661
0.661 0.339 0.339
0.333 0.000 0.333
0.333 0.333 0.000
0.667 0.667 0.000
0.667 0.000 0.667
0.000 0.000 0.000

# 15
LaBe2Cd (PBE, optimized geometry); spin magnetization = 0.00 μB per cell; uncorrected energy = -12.80 eV/cell; formation energy from the elements = 0.124 eV per atom
1.0
-1.959 1.516 -3.162
-0.007 -3.628 -1.736
-4.329 -2.844 1.319
Be La Cd
2 1 1
direct
0.500 0.078 0.221
0.000 0.149 0.076
0.500 0.780 0.815
0.000 0.493 0.388

# 16
AcNdBiSe (PBE, optimized geometry); raw formation energy = -1215 meV per atom; spin magnetization = 0.00 μB per cell; uncorrected energy = -42.20 eV/cell
1.0
-1.637 -4.776 1.809
-0.715 -4.064 -3.426
10.368 -6.192 0.983
Se Bi Ac Nd
2 2 2 2
direct
0.296 0.296 0.113
0.704 0.704 0.887
0.109 0.109 0.672
0.891 0.891 0.328
0.383 0.383 0.851
0.617 0.617 0.149
0.204 0.204 0.388
0.796 0.796 0.612

# 17
Ag2PtPb (PBE, optimized geometry); spin magnetization = 0.00 μB per cell; uncorrected energy = -14.99 eV/cell; formation energy from the elements = 0.117 eV per atom
1.0
4.846 0.000 0.000
0.000 3.143 -0.117
0.000 1.382 5.217
Pt Pb Ag
1 1 2
direct
0.500 0.750 0.750
0.500 0.250 0.250
0.000 0.559 0.520
0.000 0.941 0.980

# 18
ScCd3C (PBE, optimized geometry); spin magnetization = 0.00 μB per cell; uncorrected energy = -14.46 eV/cell; formation energy from the elements = 0.768 eV per atom
1.0
4.678 0.000 0.000
0.000 4.678 0.000
0.000 0.000 4.678
Sc Cd C
1 3 1
direct
0.500 0.500 0.500
0.500 0.000 0.000
0.000 0.500 0.000
0.000 0.000 0.500
0.000 0.000 0.000

# 19
Ce2PaSi2N6 (PBE, optimized geometry); raw formation energy = -1020 meV per atom; spin magnetization = 1.00 μB per cell; uncorrected energy = -93.38 eV/cell
1.0
-0.771 1.916 -5.516
-3.250 -4.465 2.048
-4.214 3.970 1.968
N Si Pa Ce
6 2 1 2
direct
0.372 0.288 0.818
0.288 0.915 0.182
0.085 0.372 0.182
0.628 0.712 0.182
0.712 0.085 0.818
0.915 0.628 0.818
0.333 0.667 0.300
0.667 0.333 0.700
0.000 0.000 0.000
0.333 0.667 0.832
0.667 0.333 0.168